The following is a PBE calculation of NaSnMo2W after structural relaxation, from Alexandria via LeMat-Bulk.

Lattice parameters (Å, degrees): 4.6087 4.6162 4.6087 90.00 90.00 90.00
Closest atoms and distances in Å follow each position.
Sites, in units of the cell vectors:
1 Na 0.0000 0.0000 0.0000  4 Mo 2.30, 2 W 2.31
2 W 0.0000 0.5000 0.0000  2 Na 2.31
3 Mo 0.0000 0.0000 0.5000  2 Na 2.30
4 Sn 0.5000 0.5000 0.5000  4 W 3.26, 8 Mo 3.26
5 Mo 0.5000 0.0000 0.0000  2 Na 2.30

Computed properties:
Final energy (eV for the cell shown): -27.6
Space group: P4/mmm
DFT formation energy (meV per atom): 2462